(1)
Material: HfSbTe2P
Method: DFT, GGA-PBEsol
State: relaxed

a = 5.387 Å, b = 5.387 Å, c = 5.535 Å
α = 90.00°, β = 90.00°, γ = 90.00°
Atoms (fractional coordinates):
1 Hf 0.000 0.000 0.000
2 Sb 0.000 0.000 0.500
3 Te 0.000 0.500 0.000
4 Te 0.500 0.000 0.000
5 P 0.500 0.500 0.500

## Properties
E_form (uncorrected) ... 0.61 eV per atom
Calculated total energy ... -4.97 eV/atom
Calculated volume ... 160.6 Å³/f.u.
Density ... 6.06 g/cm3

(2)
Material: Ba3MoO6
Method: DFT, GGA-PBEsol
State: relaxed

a = 6.238 Å, b = 6.238 Å, c = 6.238 Å
α = 60.00°, β = 60.00°, γ = 60.00°
Atoms (fractional coordinates):
1 Ba 0.000 0.000 0.000
2 Ba 0.250 0.250 0.250
3 Ba 0.750 0.750 0.750
4 Mo 0.500 0.500 0.500
5 O 0.283 0.283 0.717
6 O 0.283 0.717 0.283
7 O 0.283 0.717 0.717
8 O 0.717 0.283 0.283
9 O 0.717 0.283 0.717
10 O 0.717 0.717 0.283

## Properties
E_form (uncorrected) ... -2.47 eV per atom
Calculated total energy ... -7.44 eV/atom
Calculated volume ... 171.7 Å³/f.u.
Density ... 5.84 g/cm3

(3)
Material: TlCr2Os
Method: DFT, GGA-PBEsol
State: relaxed

a = 2.849 Å, b = 2.849 Å, c = 25.286 Å
α = 90.00°, β = 90.00°, γ = 120.00°
Atoms (fractional coordinates):
1 Tl 0.000 0.000 0.000
2 Tl 0.333 0.667 0.667
3 Tl 0.667 0.333 0.333
4 Cr 0.000 0.000 0.491
5 Cr 0.000 0.000 0.762
6 Cr 0.333 0.667 0.158
7 Cr 0.333 0.667 0.428
8 Cr 0.667 0.333 0.095
9 Cr 0.667 0.333 0.825
10 Os 0.000 0.000 0.236
11 Os 0.333 0.667 0.902
12 Os 0.667 0.333 0.569

## Properties
Calculated total energy ... -8.17 eV/atom
Formation energy ... 0.658 eV per atom
Calculated volume ... 59.3 Å³/f.u.
Density ... 13.97 g/cm3

(4)
Material: ZnCoAg2
Method: DFT, GGA-PBEsol
State: relaxed

a = 2.746 Å, b = 2.746 Å, c = 7.502 Å
α = 90.00°, β = 90.00°, γ = 90.00°
Atoms (fractional coordinates):
1 Zn 0.000 0.000 0.000
2 Co 0.500 0.500 0.792
3 Ag 0.000 0.000 0.546
4 Ag 0.500 0.500 0.260

## Properties
Calculated total energy ... -3.86 eV/atom
Formation energy ... 0.128 eV per atom
Calculated volume ... 56.6 Å³/f.u.
Density ... 9.98 g/cm3

(5)
Material: CuPt
Method: DFT, GGA-PBEsol
State: relaxed

a = 3.797 Å, b = 3.797 Å, c = 14.735 Å
α = 90.00°, β = 90.00°, γ = 90.00°
Atoms (fractional coordinates):
1 Cu 0.000 0.000 0.132
2 Cu 0.000 0.000 0.868
3 Cu 0.000 0.500 0.250
4 Cu 0.000 0.500 0.750
5 Cu 0.500 0.000 0.250
6 Cu 0.500 0.000 0.750
7 Cu 0.500 0.500 0.368
8 Cu 0.500 0.500 0.632
9 Pt 0.000 0.000 0.367
10 Pt 0.000 0.000 0.633
11 Pt 0.000 0.500 0.000
12 Pt 0.000 0.500 0.500
13 Pt 0.500 0.000 0.000
14 Pt 0.500 0.000 0.500
15 Pt 0.500 0.500 0.133
16 Pt 0.500 0.500 0.867

## Properties
Calculated total energy ... -5.74 eV/atom
Formation energy ... -0.088 eV per atom
Calculated volume ... 26.5 Å³/f.u.
Density ... 16.18 g/cm3

(6)
Material: ZrScAu2
Method: DFT, GGA-PBEsol
State: relaxed

a = 3.154 Å, b = 4.734 Å, c = 5.055 Å
α = 90.00°, β = 90.24°, γ = 90.00°
Atoms (fractional coordinates):
1 Zr 0.000 0.000 0.000
2 Sc 0.006 0.500 0.573
3 Au 0.502 0.500 0.111
4 Au 0.505 0.000 0.485

## Properties
Calculated total energy ... -6.56 eV/atom
Formation energy ... -0.678 eV per atom
Calculated volume ... 75.5 Å³/f.u.
Density ... 11.66 g/cm3

(7)
Material: YSiPt
Method: DFT, GGA-PBEsol
State: relaxed

a = 6.923 Å, b = 4.254 Å, c = 7.384 Å
α = 90.00°, β = 90.00°, γ = 90.00°
Atoms (fractional coordinates):
1 Y 0.003 0.250 0.199
2 Y 0.497 0.750 0.699
3 Y 0.503 0.250 0.301
4 Y 0.997 0.750 0.801
5 Si 0.185 0.250 0.588
6 Si 0.315 0.750 0.088
7 Si 0.685 0.250 0.912
8 Si 0.815 0.750 0.412
9 Pt 0.198 0.750 0.414
10 Pt 0.302 0.250 0.914
11 Pt 0.698 0.750 0.086
12 Pt 0.802 0.250 0.586

## Properties
E_form (uncorrected) ... -1.26 eV per atom
Calculated total energy ... -7.77 eV/atom
Calculated volume ... 54.4 Å³/f.u.
Density ... 9.53 g/cm3

(8)
Material: LiTe2Br
Method: DFT, GGA-PBEsol
State: relaxed

a = 4.107 Å, b = 4.107 Å, c = 15.058 Å
α = 90.00°, β = 90.00°, γ = 90.00°
Atoms (fractional coordinates):
1 Li 0.000 0.000 0.000
2 Li 0.500 0.500 0.500
3 Te 0.000 0.500 0.250
4 Te 0.000 0.500 0.750
5 Te 0.500 0.000 0.250
6 Te 0.500 0.000 0.750
7 Br 0.000 0.000 0.500
8 Br 0.500 0.500 0.000

## Properties
E_form (uncorrected) ... -0.52 eV per atom
Calculated total energy ... -3.24 eV/atom
Calculated volume ... 127.0 Å³/f.u.
Density ... 4.47 g/cm3